No. 1
A geometry-optimized BaCu structure, computed with GGA-PBE.

Lattice parameters (Å, degrees): 4.4540 4.4540 4.2202 90.00 90.00 120.00
Closest atoms and distances in Å follow each position.
Space group P-6m2 (No. 187)
Symmetry-distinct sites (fractional):
Ba: 0.0000 0.0000 0.0000 [1 per cell]  6 Cu 3.33
Cu: 0.6667 0.3333 0.5000 [1 per cell]  6 Ba 3.33

ΔE_f (meV/atom): 185
Spin magnetization (μB/atom): 0.000
E_tot (eV per atom): -2.824
Crystal system: hexagonal
Calculated density (g/cm³): 4.601
DOS at the Fermi energy (states/eV per cell): 2.3

***

No. 2
A geometry-optimized BaCu2 structure, computed with GGA-PBE.

Lattice parameters (Å, degrees): 5.1604 5.1604 10.5096 90.00 90.00 90.00
Closest atoms and distances in Å follow each position.
Space group I4/mcm (No. 140)
Symmetry-distinct sites (fractional):
Ba: 0.0000 0.0000 0.2500 [4 per cell]  8 Cu 3.26
Cu: 0.1668 0.3332 0.0000 [8 per cell]  5 Cu 2.43-2.72

ΔE_f (meV/atom): 178
Spin magnetization (μB/atom): 0.000
E_tot (eV per atom): -3.194
Crystal system: tetragonal
Calculated density (g/cm³): 6.275
DOS at the Fermi energy (states/eV per cell): 9.0

***

No. 3
A geometry-optimized Ba2Cu3 structure, computed with GGA-PBE.

Lattice parameters (Å, degrees): 4.5281 4.5281 24.8916 90.00 90.00 120.00
Closest atoms and distances in Å follow each position.
Space group R-3m (No. 166, hexagonal axes)
Symmetry-distinct sites (fractional):
Ba: 0.0000 0.0000 0.0854 [6 per cell]  9 Cu 3.31-3.38
Cu: 0.0000 0.0000 0.3338 [6 per cell]  3 Cu 2.61
Cu: 0.0000 0.0000 0.5000 [3 per cell]  6 Ba 3.31

ΔE_f (meV/atom): 35
Spin magnetization (μB/atom): 0.000
E_tot (eV per atom): -3.192
Crystal system: trigonal
Calculated density (g/cm³): 5.244
DOS at the Fermi energy (states/eV per cell): 9.8

***

No. 4
A geometry-optimized BaCu structure, computed with GGA-PBE.

Lattice parameters (Å, degrees): 4.4926 4.4926 24.7990 90.00 90.00 120.00
Closest atoms and distances in Å follow each position.
Space group R-3m (No. 166, hexagonal axes)
Symmetry-distinct sites (fractional):
Ba: 0.0000 0.0000 0.0843 [6 per cell]  6 Cu 3.33
Cu: 0.0000 0.0000 0.3332 [6 per cell]  3 Cu 2.59

ΔE_f (meV/atom): -72
Spin magnetization (μB/atom): 0.000
E_tot (eV per atom): -3.082
Crystal system: trigonal
Calculated density (g/cm³): 4.617
DOS at the Fermi energy (states/eV per cell): 4.7

***

No. 5
A geometry-optimized BaCu structure, computed with GGA-PBE.

Lattice parameters (Å, degrees): 4.6782 4.6845 6.6276 90.00 90.00 90.00
Closest atoms and distances in Å follow each position.
Space group Immm (No. 71)
Symmetry-distinct sites (fractional):
Ba: 0.0000 0.0000 0.0000 [2 per cell]  6 Cu 3.31
Cu: 0.0000 0.0000 0.5000 [2 per cell]  6 Ba 3.31

ΔE_f (meV/atom): 117
Spin magnetization (μB/atom): 0.000
E_tot (eV per atom): -2.892
Crystal system: orthorhombic
Calculated density (g/cm³): 4.593
DOS at the Fermi energy (states/eV per cell): 2.8

***

No. 6
A geometry-optimized BaCu structure, computed with GGA-PBE.

Lattice parameters (Å, degrees): 5.6444 5.6444 12.3512 90.00 90.00 120.00
Closest atoms and distances in Å follow each position.
Space group R-3m (No. 166, hexagonal axes)
Symmetry-distinct sites (fractional):
Ba: 0.0000 0.0000 0.1374 [6 per cell]  4 Cu 3.22-3.38, 4 Ba 3.34-3.39
Cu: 0.0000 0.0000 0.3977 [6 per cell]  1 Cu 2.53

ΔE_f (meV/atom): 293
Spin magnetization (μB/atom): 0.000
E_tot (eV per atom): -2.717
Crystal system: trigonal
Calculated density (g/cm³): 5.873
DOS at the Fermi energy (states/eV per cell): 10.1

***

No. 7
A geometry-optimized BaCu2 structure, computed with GGA-PBE.

Lattice parameters (Å, degrees): 8.5276 8.5276 4.5268 90.00 90.00 120.00
Closest atoms and distances in Å follow each position.
Space group P-62m (No. 189)
Symmetry-distinct sites (fractional):
Ba: 0.0000 0.0000 0.0000 [1 per cell]  9 Cu 3.21-3.26
Ba: 0.3333 0.6667 0.5000 [2 per cell]  3 Cu 3.12
Cu: 0.0000 0.2758 0.5000 [3 per cell]  2 Cu 2.42
Cu: 0.0000 0.3769 0.0000 [3 per cell]  2 Cu 2.42

ΔE_f (meV/atom): 241
Spin magnetization (μB/atom): 0.000
E_tot (eV per atom): -3.131
Crystal system: hexagonal
Calculated density (g/cm³): 4.621
DOS at the Fermi energy (states/eV per cell): 3.2

***

No. 8
A geometry-optimized BaCu2 structure, computed with GGA-PBE.

Lattice parameters (Å, degrees): 6.1262 6.1262 4.7096 90.00 90.00 90.00
Closest atoms and distances in Å follow each position.
Space group I4/mmm (No. 139)
Symmetry-distinct sites (fractional):
Ba: 0.0000 0.0000 0.0000 [2 per cell]  8 Cu 3.28
Cu: 0.0000 0.5000 0.2500 [4 per cell]  2 Cu 2.35

ΔE_f (meV/atom): 179
Spin magnetization (μB/atom): 0.000
E_tot (eV per atom): -3.193
Crystal system: tetragonal
Calculated density (g/cm³): 4.968
DOS at the Fermi energy (states/eV per cell): 2.2

***

No. 9
A geometry-optimized BaCu2 structure, computed with GGA-PBE.

Lattice parameters (Å, degrees): 6.3197 6.0540 8.3201 90.00 90.00 90.00
Closest atoms and distances in Å follow each position.
Space group Pnma (No. 62)
Symmetry-distinct sites (fractional):
Ba: 0.2421 0.2500 0.1067 [4 per cell]  7 Cu 3.11-3.47
Cu: 0.0107 0.7500 0.2502 [4 per cell]  2 Cu 2.45-2.46
Cu: 0.2391 0.2500 0.5239 [4 per cell]  2 Cu 2.45-2.46

ΔE_f (meV/atom): 166
Spin magnetization (μB/atom): 0.000
E_tot (eV per atom): -3.206
Crystal system: orthorhombic
Calculated density (g/cm³): 5.517
DOS at the Fermi energy (states/eV per cell): 3.8

***

No. 10
A geometry-optimized BaCu5 structure, computed with GGA-PBE.

Lattice parameters (Å, degrees): 4.8347 10.3464 4.6354 90.00 90.00 90.00
Closest atoms and distances in Å follow each position.
Space group Cmmm (No. 65)
Symmetry-distinct sites (fractional):
Ba: 0.0000 0.0000 0.0000 [2 per cell]  10 Cu 3.14-3.35
Cu: 0.0000 0.2649 0.5000 [4 per cell]  5 Cu 2.36-2.44
Cu: 0.0000 0.3070 0.0000 [4 per cell]  2 Cu 2.36
Cu: 0.0000 0.5000 0.5000 [2 per cell]  2 Cu 2.43

ΔE_f (meV/atom): 250
Spin magnetization (μB/atom): 0.000
E_tot (eV per atom): -3.484
Crystal system: orthorhombic
Calculated density (g/cm³): 6.518
DOS at the Fermi energy (states/eV per cell): 5.0

***

No. 11
A geometry-optimized BaCu2 structure, computed with GGA-PBE.

Lattice parameters (Å, degrees): 11.3237 4.4082 6.6294 90.00 106.55 90.00
Closest atoms and distances in Å follow each position.
Space group Cm (No. 8)
Symmetry-distinct sites (fractional):
Ba: 0.0000 0.0000 0.0000 [2 per cell]  10 Cu 3.28-3.59
Ba: 0.1591 0.5000 0.5741 [2 per cell]  8 Cu 3.16-3.48
Cu: 0.2363 0.5000 0.1148 [2 per cell]  3 Cu 2.46-2.49
Cu: 0.3257 0.0000 0.2330 [2 per cell]  5 Cu 2.41-2.64
Cu: 0.3876 0.0000 0.6126 [2 per cell]  3 Cu 2.41-2.53
Cu: 0.4110 0.5000 0.4421 [2 per cell]  5 Cu 2.49-2.64

ΔE_f (meV/atom): 54
Spin magnetization (μB/atom): 0.000
E_tot (eV per atom): -3.318
Crystal system: monoclinic
Calculated density (g/cm³): 5.537
DOS at the Fermi energy (states/eV per cell): 4.6

***

No. 12
A geometry-optimized BaCu2 structure, computed with GGA-PBE.

Lattice parameters (Å, degrees): 7.4345 7.4345 7.4345 90.00 90.00 90.00
Closest atoms and distances in Å follow each position.
Space group Fm-3m (No. 225)
Symmetry-distinct sites (fractional):
Ba: 0.0000 0.0000 0.0000 [4 per cell]  8 Cu 3.22
Cu: 0.2500 0.2500 0.2500 [8 per cell]  4 Ba 3.22

ΔE_f (meV/atom): 575
Spin magnetization (μB/atom): 0.000
E_tot (eV per atom): -2.797
Crystal system: cubic
Calculated density (g/cm³): 4.274
DOS at the Fermi energy (states/eV per cell): 1.2